Here is CrCu2Pt at its PBEsol-relaxed geometry from the Alexandria database. Energies are from SCAN.

Lattice parameters (Å, degrees): 2.6245 2.6245 25.1516 90.00 90.00 120.00
Space group R3m (No. 160, hexagonal axes)
Asymmetric unit:
Cr (0.0000, 0.0000, 0.0000) [3 per cell]
Cu (0.0000, 0.0000, 0.4946) [3 per cell]
Cu (0.0000, 0.0000, 0.7486) [3 per cell]
Pt (0.0000, 0.0000, 0.2498) [3 per cell]

Calculated values
E (eV for the cell shown): -356.028
Formation enthalpy at 0 K (eV per atom): 0.0751

Here is TiCrCuPt2 at its PBEsol-relaxed geometry from the Alexandria database. Energies are from SCAN.

Lattice parameters (Å, degrees): 4.5687 4.5687 4.2180 90.00 90.00 90.00
Space group P4/mmm (No. 123)
Asymmetric unit:
Ti (0.0000, 0.0000, 0.0000) [1 per cell]
Cr (0.5000, 0.5000, 0.0000) [1 per cell]
Cu (0.0000, 0.0000, 0.5000) [1 per cell]
Pt (0.0000, 0.5000, 0.5000) [2 per cell]

Calculated values
E (eV for the cell shown): -187.119
Formation enthalpy at 0 K (eV per atom): 0.5762

Here is CrCu2Re at its PBEsol-relaxed geometry from the Alexandria database. Energies are from SCAN.

Lattice parameters (Å, degrees): 3.6695 3.6695 7.2134 90.00 90.00 90.00
Space group I-4m2 (No. 119)
Asymmetric unit:
Cr (0.0000, 0.0000, 0.0000) [2 per cell]
Cu (0.0000, 0.0000, 0.5000) [2 per cell]
Cu (0.0000, 0.5000, 0.7500) [2 per cell]
Re (0.0000, 0.5000, 0.2500) [2 per cell]

Calculated values
Offset from the most stable computed form (eV per formula unit): 0.00
E (eV for the cell shown): -237.744
Formation enthalpy at 0 K (eV per atom): 0.2522

Here is Cr2CuRe at its PBEsol-relaxed geometry from the Alexandria database. Energies are from SCAN.

Lattice parameters (Å, degrees): 5.0427 8.3151 2.4907 90.00 109.98 90.00
Space group C2/m (No. 12)
Asymmetric unit:
Cr (0.2500, 0.2500, 0.0000) [4 per cell]
Cu (0.0000, 0.0000, 0.5000) [2 per cell]
Re (0.0000, 0.5000, 0.5000) [2 per cell]

Calculated values
Offset from the most stable computed form (eV per formula unit): 0.08
E (eV for the cell shown): -244.475
Formation enthalpy at 0 K (eV per atom): 0.2071

Here is Cr2CuRe at its PBEsol-relaxed geometry from the Alexandria database. Energies are from SCAN.

Lattice parameters (Å, degrees): 2.5224 2.5224 7.7938 90.00 90.00 90.00
Space group P4mm (No. 99)
Asymmetric unit:
Cr (0.0000, 0.0000, 0.0000) [1 per cell]
Cr (0.5000, 0.5000, 0.2348) [1 per cell]
Cu (0.0000, 0.0000, 0.4773) [1 per cell]
Re (0.5000, 0.5000, 0.7390) [1 per cell]

Calculated values
Offset from the most stable computed form (eV per formula unit): 0.73
E (eV for the cell shown): -121.592
Formation enthalpy at 0 K (eV per atom): 0.3684

Here is CrCu2Re at its PBEsol-relaxed geometry from the Alexandria database. Energies are from SCAN.

Lattice parameters (Å, degrees): 3.4687 3.4687 4.0204 90.00 90.00 90.00
Space group P4/mmm (No. 123)
Asymmetric unit:
Cr (0.0000, 0.0000, 0.0000) [1 per cell]
Cu (0.0000, 0.5000, 0.5000) [2 per cell]
Re (0.5000, 0.5000, 0.0000) [1 per cell]

Calculated values
Offset from the most stable computed form (eV per formula unit): 0.03
E (eV for the cell shown): -118.841
Formation enthalpy at 0 K (eV per atom): 0.2600